Entry 1:
This record from OQMD describes an optimized crystal structure of Tm4InSnC2. The functional is PBE.

Calculated values
**Space group**: No. 187
**Energy**: -47.24 eV/cell

Cell lengths 3.555, 3.555, 15.863 Å; angles 90.00, 90.00, 120.00 degrees
Sites, in units of the cell vectors:
C  0.667  0.333  0.753
C  0.667  0.333  0.247
Tm  0.333  0.667  0.669
Tm  0.333  0.667  0.331
Tm  0.000  0.000  0.165
Tm  0.000  0.000  0.835
Sn  0.333  0.667  0.000
In  0.000  0.000  0.500

Entry 2:
This record from OQMD describes an optimized crystal structure of TaCdNiBi. The functional is PBE.

Calculated values
**Space group**: No. 216
**Energy**: -19.91 eV/cell

Cell lengths 4.769, 4.769, 4.769 Å; angles 60.00, 60.00, 60.00 degrees
Sites, in units of the cell vectors:
Bi  0.000  0.000  0.000
Ta  0.250  0.250  0.250
Ni  0.750  0.750  0.750
Cd  0.500  0.500  0.500

Entry 3:
This record from OQMD describes an optimized crystal structure of Er10Al3Co. The functional is PBE.

Calculated values
**Space group**: No. 194
**Energy**: -135.43 eV/cell

Cell lengths 9.378, 9.378, 9.507 Å; angles 90.00, 90.00, 120.00 degrees
Sites, in units of the cell vectors:
Er  0.000  0.000  0.000
Er  0.209  0.418  0.938
Er  0.085  0.542  0.250
Er  0.209  0.791  0.938
Er  0.418  0.209  0.062
Er  0.542  0.085  0.750
Er  0.458  0.915  0.250
Er  0.791  0.209  0.438
Er  0.209  0.418  0.562
Er  0.542  0.458  0.750
Er  0.582  0.791  0.938
Er  0.582  0.791  0.562
Er  0.000  0.000  0.500
Er  0.791  0.209  0.062
Er  0.458  0.542  0.250
Er  0.791  0.582  0.438
Er  0.418  0.209  0.438
Er  0.791  0.582  0.062
Er  0.915  0.458  0.750
Er  0.209  0.791  0.562
Al  0.778  0.889  0.250
Al  0.111  0.222  0.250
Al  0.889  0.778  0.750
Al  0.111  0.889  0.250
Al  0.222  0.111  0.750
Al  0.889  0.111  0.750
Co  0.667  0.333  0.250
Co  0.333  0.667  0.750

Entry 4:
This record from OQMD describes an optimized crystal structure of Ba2IrO. The functional is PBE.

Calculated values
**Space group**: No. 11
**Energy**: -45.15 eV/cell

Cell lengths 5.541, 4.476, 8.746 Å; angles 90.00, 104.39, 90.00 degrees
Sites, in units of the cell vectors:
Ba  0.859  0.250  0.803
Ba  0.299  0.750  0.624
Ba  0.701  0.250  0.376
Ba  0.141  0.750  0.197
O  0.220  0.250  0.425
O  0.780  0.750  0.575
Ir  0.573  0.750  0.018
Ir  0.427  0.250  0.982

Entry 5:
This record from OQMD describes an optimized crystal structure of TaBeFeBi. The functional is PBE.

Calculated values
**Space group**: No. 216
**Polymorph energy (0 for the lowest one)**: 0.000 eV per atom

Cell lengths 4.469, 4.469, 4.469 Å; angles 60.00, 60.00, 60.00 degrees
Sites, in units of the cell vectors:
Bi  0.000  0.000  0.000
Ta  0.500  0.500  0.500
Be  0.250  0.250  0.250
Fe  0.750  0.750  0.750

Entry 6:
This record from OQMD describes an optimized crystal structure of Cs2LiNbSe4. The functional is PBE.

Calculated values
**Space group**: No. 70
**Polymorph energy (0 for the lowest one)**: 0.000 eV per atom

Cell lengths 14.738, 13.175, 7.948 Å; angles 84.65, 62.88, 32.47 degrees
Sites, in units of the cell vectors:
Nb  0.000  0.000  0.000
Nb  0.250  0.250  0.250
Li  0.500  0.500  0.500
Li  0.750  0.750  0.750
Se  0.813  0.079  0.377
Se  0.079  0.813  0.731
Se  0.171  0.437  0.519
Se  0.731  0.377  0.079
Se  0.437  0.171  0.873
Se  0.377  0.731  0.813
Se  0.873  0.519  0.437
Se  0.519  0.873  0.171
Cs  0.429  0.429  0.071
Cs  0.821  0.821  0.179
Cs  0.071  0.071  0.429
Cs  0.179  0.179  0.821

Entry 7:
This record from OQMD describes an optimized crystal structure of Dy2LuN3. The functional is PBE.

Calculated values
**Space group**: No. 164
**Energy**: -49.24 eV/cell

Cell lengths 3.426, 3.426, 8.387 Å; angles 90.00, 90.00, 120.00 degrees
Sites, in units of the cell vectors:
N  0.333  0.667  0.339
N  0.000  0.000  0.000
N  0.667  0.333  0.661
Dy  0.333  0.667  0.831
Dy  0.667  0.333  0.169
Lu  0.000  0.000  0.500

Entry 8:
This record from OQMD describes an optimized crystal structure of NaPdNO. The functional is PBE.

Calculated values
**Space group**: No. 26
**Polymorph energy (0 for the lowest one)**: 0.000 eV per atom

Cell lengths 3.558, 5.686, 5.951 Å; angles 90.00, 90.00, 90.00 degrees
Sites, in units of the cell vectors:
Na  0.000  0.488  0.310
Na  0.000  0.988  0.690
O  0.500  0.845  0.865
O  0.500  0.345  0.135
N  0.000  0.433  0.721
N  0.000  0.933  0.279
Pd  0.500  0.488  0.814
Pd  0.500  0.988  0.186

Entry 9:
This record from OQMD describes an optimized crystal structure of TbHoTa. The functional is PBE.

Calculated values
**Space group**: No. 216
**E_form**: 1.2914 eV per atom

Cell lengths 4.994, 4.994, 4.994 Å; angles 60.00, 60.00, 60.00 degrees
Each line ends with the local moment (μB).
Sites, in units of the cell vectors:
Ta  0.250  0.250  0.250  0.67
Ho  0.000  0.000  0.000  0.38
Tb  0.750  0.750  0.750  0.04

Entry 10:
This record from OQMD describes an optimized crystal structure of MgZnTeO. The functional is PBE.

Calculated values
**Space group**: No. 29
**Polymorph energy (0 for the lowest one)**: 0.114 eV per atom

Cell lengths 5.993, 8.819, 5.756 Å; angles 90.00, 90.00, 90.00 degrees
Sites, in units of the cell vectors:
Te  0.524  0.346  0.093
Te  0.976  0.346  0.593
Te  0.024  0.654  0.093
Te  0.476  0.654  0.593
Mg  0.483  0.305  0.585
Mg  0.017  0.305  0.085
Mg  0.983  0.695  0.585
Mg  0.517  0.695  0.085
O  0.086  0.084  0.110
O  0.586  0.916  0.110
O  0.414  0.084  0.611
O  0.914  0.916  0.611
Zn  0.110  0.067  0.462
Zn  0.890  0.933  0.962
Zn  0.390  0.067  0.962
Zn  0.610  0.933  0.462

Entry 11:
This record from OQMD describes an optimized crystal structure of ZrU. The functional is PBE.

Calculated values
**Space group**: No. 6
**Polymorph energy (0 for the lowest one)**: 0.077 eV per atom
**E_form**: 0.1921 eV per atom

Cell lengths 5.930, 7.777, 4.985 Å; angles 90.00, 90.00, 73.17 degrees
Each line ends with the local moment (μB).
Sites, in units of the cell vectors:
U  0.566  0.789  0.000  0.10
U  0.711  0.441  0.000  0.11
U  0.374  0.141  0.000  0.15
U  0.516  0.382  0.500  -0.02
U  0.162  0.245  0.500  0.09
Zr  0.298  0.809  0.500  -0.01
Zr  0.968  0.005  0.000  0.00
Zr  0.869  0.615  0.500  -0.01
Zr  0.169  0.564  0.000  -0.01
Zr  0.700  0.010  0.500  -0.02

Entry 12:
This record from OQMD describes an optimized crystal structure of LaTaSiIr2. The functional is PBE.

Calculated values
**Space group**: No. 107
**Energy**: -43.13 eV/cell

Cell lengths 6.210, 6.210, 6.210 Å; angles 140.14, 140.14, 57.64 degrees
Sites, in units of the cell vectors:
Ta  0.378  0.378  0.000
Ir  0.247  0.747  0.500
Ir  0.747  0.247  0.500
Si  0.621  0.621  0.000
La  0.008  0.008  0.000